# 1
Below is crystalline La8Tl2Si at its relaxed geometry, with properties calculated at the PBE level.

a = 10.107 Å, b = 10.107 Å, c = 7.076 Å
α = 106.78°, β = 106.78°, γ = 30.91°
Atoms (fractional coordinates):
La1 0.001 0.001 0.230
La2 0.213 0.213 0.303
La3 0.348 0.348 0.014
La4 0.414 0.414 0.545
La5 0.586 0.586 0.455
La6 0.652 0.652 0.986
La7 0.787 0.787 0.697
La8 0.999 0.999 0.770
Tl1 0.170 0.170 0.730
Tl2 0.830 0.830 0.270
Si1 0.500 0.500 0.000

Properties
SG: C2/m, No. 12
crystal system: monoclinic

# 2
Below is crystalline LaTl2Si at its relaxed geometry, with properties calculated at the PBE level.

a = 5.351 Å, b = 5.351 Å, c = 5.351 Å
α = 60.00°, β = 60.00°, γ = 60.00°
Atoms (fractional coordinates):
La1 0.000 0.000 0.000
Tl1 0.250 0.250 0.250
Tl2 0.750 0.750 0.750
Si1 0.500 0.500 0.500

Properties
SG: Fm-3m, No. 225
energy relative to the lowest polymorph listed for this composition: 261 meV per atom
crystal system: cubic

# 3
Below is crystalline LaTlSi at its relaxed geometry, with properties calculated at the PBE level.

a = 4.438 Å, b = 4.438 Å, c = 4.819 Å
α = 90.00°, β = 90.00°, γ = 120.00°
Atoms (fractional coordinates):
La1 0.000 0.000 0.000
Tl1 0.333 0.667 0.566
Si1 0.667 0.333 0.340

Properties
SG: P3m1, No. 156
energy relative to the lowest polymorph listed for this composition: 128 meV per atom
crystal system: trigonal

# 4
Below is crystalline LaTl2Si at its relaxed geometry, with properties calculated at the PBE level.

a = 3.875 Å, b = 3.875 Å, c = 7.288 Å
α = 90.00°, β = 90.00°, γ = 97.18°
Atoms (fractional coordinates):
La1 0.000 0.000 0.000
Tl1 0.000 0.000 0.450
Tl2 0.500 0.500 0.698
Si1 0.500 0.500 0.237

Properties
SG: Cmm2, No. 35
energy relative to the lowest polymorph listed for this composition: 152 meV per atom
crystal system: orthorhombic

# 5
Below is crystalline LaTl2Si at its relaxed geometry, with properties calculated at the PBE level.

a = 4.544 Å, b = 4.544 Å, c = 5.089 Å
α = 90.00°, β = 90.00°, γ = 90.00°
Atoms (fractional coordinates):
La1 0.000 0.000 0.000
Tl1 0.000 0.500 0.500
Tl2 0.500 0.000 0.500
Si1 0.500 0.500 0.000

Properties
SG: P4/mmm, No. 123
energy relative to the lowest polymorph listed for this composition: 0 meV per atom
crystal system: tetragonal

# 6
Below is crystalline LaTl4Si at its relaxed geometry, with properties calculated at the PBE level.

a = 6.271 Å, b = 6.271 Å, c = 6.271 Å
α = 60.00°, β = 60.00°, γ = 60.00°
Atoms (fractional coordinates):
La1 0.000 0.000 0.000
Tl1 0.376 0.376 0.376
Tl2 0.376 0.376 0.873
Tl3 0.376 0.873 0.376
Tl4 0.873 0.376 0.376
Si1 0.750 0.750 0.750

Properties
SG: F-43m, No. 216
crystal system: cubic

# 7
Below is crystalline LaTl2Si at its relaxed geometry, with properties calculated at the PBE level.

a = 4.654 Å, b = 4.155 Å, c = 6.292 Å
α = 90.00°, β = 111.39°, γ = 90.00°
Atoms (fractional coordinates):
La1 0.000 0.000 0.000
Tl1 0.288 0.000 0.572
Tl2 0.711 0.500 0.418
Si1 0.466 0.500 0.932

Properties
SG: Pm, No. 6
energy relative to the lowest polymorph listed for this composition: 34 meV per atom
crystal system: monoclinic

# 8
Below is crystalline LaTl2Si at its relaxed geometry, with properties calculated at the PBE level.

a = 3.841 Å, b = 3.841 Å, c = 7.317 Å
α = 90.00°, β = 90.00°, γ = 90.00°
Atoms (fractional coordinates):
La1 0.000 0.000 0.000
Tl1 0.000 0.000 0.448
Tl2 0.500 0.500 0.695
Si1 0.500 0.500 0.238

Properties
SG: P4mm, No. 99
energy relative to the lowest polymorph listed for this composition: 161 meV per atom
crystal system: tetragonal

# 9
Below is crystalline La6TlSi2 at its relaxed geometry, with properties calculated at the PBE level.

a = 9.001 Å, b = 9.001 Å, c = 9.001 Å
α = 111.97°, β = 109.64°, γ = 106.84°
Atoms (fractional coordinates):
La1 0.035 0.243 0.792
La2 0.184 0.276 0.460
La3 0.184 0.724 0.908
La4 0.320 0.026 0.706
La5 0.320 0.614 0.294
La6 0.451 0.243 0.208
La7 0.549 0.757 0.792
La8 0.680 0.386 0.706
La9 0.680 0.974 0.294
La10 0.816 0.276 0.092
La11 0.816 0.724 0.540
La12 0.965 0.757 0.208
Tl1 0.000 0.000 0.000
Tl2 0.500 0.500 0.000
Si1 0.111 0.611 0.500
Si2 0.376 0.000 0.376
Si3 0.624 0.000 0.624
Si4 0.889 0.389 0.500

Properties
SG: Immm, No. 71
crystal system: orthorhombic

# 10
Below is crystalline La2TlSiW at its relaxed geometry, with properties calculated at the PBE level.

a = 5.698 Å, b = 5.698 Å, c = 4.659 Å
α = 90.00°, β = 90.00°, γ = 90.00°
Atoms (fractional coordinates):
La1 0.000 0.500 0.000
La2 0.500 0.000 0.000
Tl1 0.000 0.000 0.500
Si1 0.500 0.500 0.000
W1 0.500 0.500 0.500

Properties
SG: P4/mmm, No. 123
crystal system: tetragonal

# 11
Below is crystalline LaTlZn2Si at its relaxed geometry, with properties calculated at the PBE level.

a = 5.889 Å, b = 5.889 Å, c = 5.443 Å
α = 90.00°, β = 90.00°, γ = 90.00°
Atoms (fractional coordinates):
La1 0.000 0.000 0.000
Tl1 0.500 0.500 0.500
Zn1 0.000 0.500 0.000
Zn2 0.500 0.000 0.000
Si1 0.000 0.000 0.500

Properties
SG: P4/mmm, No. 123
crystal system: tetragonal

# 12
Below is crystalline LaTm2Si6 at its relaxed geometry, with properties calculated at the PBE level.

a = 7.135 Å, b = 7.135 Å, c = 3.977 Å
α = 90.00°, β = 90.00°, γ = 120.00°
Atoms (fractional coordinates):
La1 0.000 0.000 0.000
Tm1 0.333 0.667 0.000
Tm2 0.667 0.333 0.000
Si1 0.000 0.338 0.500
Si2 0.000 0.662 0.500
Si3 0.338 0.000 0.500
Si4 0.338 0.338 0.500
Si5 0.662 0.000 0.500
Si6 0.662 0.662 0.500

Properties
SG: P6/mmm, No. 191
crystal system: hexagonal

Number 1: formation energy from raw total energies -284.2 meV/atom. Number 2: formation energy from raw total energies 35.6 meV/atom. Number 3: formation energy from raw total energies -390.3 meV/atom. Number 4: formation energy from raw total energies -72.8 meV/atom. Number 5: formation energy from raw total energies -225.2 meV/atom. Number 6: formation energy from raw total energies 239.6 meV/atom. Number 7: formation energy from raw total energies -191.0 meV/atom. Number 8: formation energy from raw total energies -63.9 meV/atom. Number 9: formation energy from raw total energies -467.5 meV/atom. Number 10: formation energy from raw total energies 253.5 meV/atom. Number 11: formation energy from raw total energies 762.5 meV/atom. Number 12: formation energy from raw total energies -525.1 meV/atom.